Entry 1:
Entry from Alexandria via LeMat-Bulk: a geometry-optimized SrZnCdW2 structure (PBE).

Calculated values
energy of formation from the pure elements = 281 kJ/mol of atoms
Fermi-level density of states = 1.109 states/eV/atom
E_tot = -15.2 eV/cell
SG = P4/mmm (123)

Cell: 4.9398 4.9398 5.1941 Å, 90.00 90.00 90.00°
Closest atoms and distances in Å follow each position.
Fractional positions:
Sr1 0.0000 0.0000 0.0000  4 W 2.47, 2 Zn 2.60
Zn1 0.0000 0.0000 0.5000  2 Sr 2.60
Cd1 0.5000 0.5000 0.5000  4 Zn 3.49, 8 W 3.58
W1 0.0000 0.5000 0.0000  2 Sr 2.47
W2 0.5000 0.0000 0.0000  2 Sr 2.47

Entry 2:
Entry from Alexandria via LeMat-Bulk: a geometry-optimized TaCu2 structure (PBE).

Calculated values
energy of formation from the pure elements = 15 kJ/mol of atoms
Fermi-level density of states = 0.658 states/eV/atom
E_tot = -78.4 eV/cell
SG = Pnma (62)

Cell: 5.5500 3.8422 8.0025 Å, 90.00 90.00 90.00°
Closest atoms and distances in Å follow each position.
Fractional positions:
Ta1 0.1447 0.2500 0.0804  10 Cu 2.65-2.86, 2 Ta 2.82
Ta2 0.3553 0.7500 0.5804  10 Cu 2.65-2.86, 2 Ta 2.82
Ta3 0.6447 0.2500 0.4196  10 Cu 2.65-2.86, 2 Ta 2.82
Ta4 0.8553 0.7500 0.9196  10 Cu 2.65-2.86, 2 Ta 2.82
Cu1 0.0885 0.2500 0.7400  7 Cu 2.59-2.84, 5 Ta 2.73-2.74
Cu2 0.1303 0.2500 0.4148  7 Cu 2.59-2.84, 5 Ta 2.65-2.86
Cu3 0.3697 0.7500 0.9148  7 Cu 2.59-2.84, 5 Ta 2.65-2.86
Cu4 0.4115 0.7500 0.2400  7 Cu 2.59-2.84, 5 Ta 2.73-2.74
Cu5 0.5885 0.2500 0.7600  7 Cu 2.59-2.84, 5 Ta 2.73-2.74
Cu6 0.6303 0.2500 0.0852  7 Cu 2.59-2.84, 5 Ta 2.65-2.86
Cu7 0.8697 0.7500 0.5852  7 Cu 2.59-2.84, 5 Ta 2.65-2.86
Cu8 0.9115 0.7500 0.2600  7 Cu 2.59-2.84, 5 Ta 2.73-2.74

Entry 3:
Entry from Alexandria via LeMat-Bulk: a geometry-optimized CsHg5Au structure (PBE).

Calculated values
energy of formation from the pure elements = -14 kJ/mol of atoms
Fermi-level density of states = 0.314 states/eV/atom
ΔE to the lowest computed polymorph = 0 meV per atom
E_tot = -6.6 eV/cell
SG = Immm (71)

Cell: 7.2728 7.2728 7.2728 Å, 135.14 120.28 77.70°
Closest atoms and distances in Å follow each position.
Fractional positions:
Cs1 0.0000 0.0000 0.0000  14 Hg 3.62-4.03
Hg1 0.0370 0.3101 0.7269  1 Au 2.92, 2 Hg 3.11
Hg2 0.4168 0.6899 0.7269  1 Au 2.92, 2 Hg 3.11
Hg3 0.5000 0.0000 0.5000  2 Au 2.77
Hg4 0.5832 0.3101 0.2731  1 Au 2.92, 2 Hg 3.11
Hg5 0.9630 0.6899 0.2731  1 Au 2.92, 2 Hg 3.11
Au1 0.5000 0.5000 0.0000  6 Hg 2.77-2.92